## Ta2AlTc (GGA-PBE)

Data for a relaxed structure of Ta2AlTc.

Density of states at the Fermi level in states/eV/atom: 0.739
Crystal system: orthorhombic
Total DFT energy (no corrections) in eV for the cell shown: -76.89
ΔH_f (0 K) in eV/atom: -0.16

Unit cell a=3.249 b=4.625 c=8.855 alpha=90.00 beta=90.00 gamma=90.00
Space group Cmmm (No. 65)
One atom of each set of equivalent atoms:
Ta 0.000 0.000 0.245 [4 per cell]
Al 0.000 0.500 0.500 [2 per cell]
Tc 0.000 0.500 0.000 [2 per cell]

=====

## Ta2Al2Tc (GGA-PBE)

Data for a relaxed structure of Ta2Al2Tc.

Density of states at the Fermi level in states/eV/atom: 0.922
Crystal system: tetragonal
Total DFT energy (no corrections) in eV for the cell shown: -84.46
ΔH_f (0 K) in eV/atom: -0.13
Energy above the most stable polymorph in this dataset in eV/atom: 0.000

Unit cell a=6.672 b=6.672 c=3.641 alpha=90.00 beta=90.00 gamma=90.00
Space group P4/mbm (No. 127)
One atom of each set of equivalent atoms:
Ta 0.168 0.332 0.000 [4 per cell]
Al 0.133 0.633 0.500 [4 per cell]
Tc 0.000 0.000 0.500 [2 per cell]

=====

## Ta3AlTc (GGA-PBE)

Data for a relaxed structure of Ta3AlTc.

Density of states at the Fermi level in states/eV/atom: 1.621
Crystal system: cubic
Total DFT energy (no corrections) in eV for the cell shown: -42.06
ΔH_f (0 K) in eV/atom: 1.52
Energy above the most stable polymorph in this dataset in eV/atom: 0.423

Unit cell a=4.624 b=4.624 c=4.624 alpha=90.00 beta=90.00 gamma=90.00
Space group Pm-3m (No. 221)
One atom of each set of equivalent atoms:
Ta 0.000 0.000 0.500 [3 per cell]
Al 0.000 0.000 0.000 [1 per cell]
Tc 0.500 0.500 0.500 [1 per cell]